Ba3Na2Cr4F20 after structural relaxation, computed with GGA+U.

Cell lengths 5.5450, 20.9591, 9.2061 Å; angles 90.00, 126.35, 90.00 degrees
With the nearest neighbours (Å) after each atom.
Space group P2_1/c (No. 14)
Symmetry-distinct sites (fractional):
Ba 0.0000 0.0000 0.0000  6 F 2.67-2.76
Ba 0.0373 0.2231 0.0090  9 F 2.73-2.91
Na 0.1986 0.0911 0.7254  5 F 2.25-2.41
Cr 0.3051 0.6030 0.2844  6 F 1.93-1.99
Cr 0.4963 0.6377 0.9673  6 F 1.93-2.01
F 0.1100 0.0966 0.4400  2 Cr 1.99-2.01
F 0.1149 0.6790 0.8598  1 Cr 1.93
F 0.1626 0.6115 0.4300  1 Cr 1.93
F 0.2856 0.1079 0.0003  1 Cr 1.94
F 0.2899 0.5666 0.8062  1 Cr 1.93
F 0.2987 0.2099 0.3736  1 Cr 1.94
F 0.3171 0.5113 0.3124  1 Cr 1.93
F 0.3246 0.6941 0.2664  1 Cr 1.93
F 0.4686 0.1776 0.7088  1 Cr 1.93
F 0.4730 0.5916 0.1467  2 Cr 1.98

DFT total energy   -0.21219 hartree per atom
Crystal system   monoclinic
Total magnetic moment   12.0 μB/f.u.